Entry 1:
The following is a DFT calculation (PBE) of an optimized crystal structure of PmU3P4.

The space group is Cmmm (No. 65) and the conventional cell measures 8.025, 11.269 and 3.954 Å, with angles of 90.00, 90.00 and 90.00 degrees. The asymmetric unit holds Pm at (0.000, 0.000, 0.000), U at (0.000, 0.500, 0.000), U at (0.250, 0.250, 0.500), P at (0.000, 0.254, 0.000) and P at (0.240, 0.500, 0.500).

The magnetic moment is 6.57 μB per formula unit. The energy of formation comes out at -1.10 eV per atom.

=====

Entry 2:
The following is a DFT calculation (PBE) of an optimized crystal structure of PmU5P6.

The space group is C2/m (No. 12) and the conventional cell measures 6.866, 11.911 and 6.876 Å, with angles of 90.00, 109.53 and 90.00 degrees. The asymmetric unit holds Pm at (0.000, 0.000, 0.000), U at (0.000, 0.164, 0.500), U at (0.000, 0.333, 0.000), U at (0.000, 0.500, 0.500), P at (0.244, 0.330, 0.745) and P at (0.244, 0.500, 0.253).

The magnetic moment is 10.88 μB per formula unit. The energy of formation comes out at -1.05 eV per atom.

=====

Entry 3:
The following is a DFT calculation (PBE) of an optimized crystal structure of PmUP2.

The space group is P4/mmm (No. 123) and the conventional cell measures 3.453, 3.453 and 6.963 Å, with angles of 90.00, 90.00 and 90.00 degrees. The asymmetric unit holds Pm at (0.000, 0.000, 0.000), U at (0.000, 0.000, 0.500) and P at (0.500, 0.500, 0.267).

The magnetic moment is 2.49 μB per formula unit. Its excess energy over the best structure of this formula in the dataset is 370 meV per atom. The energy of formation comes out at -0.90 eV per atom.

=====

Entry 4:
The following is a DFT calculation (PBE) of an optimized crystal structure of PmUP2.

The space group is R-3m (No. 166, hexagonal axes) and the conventional cell measures 4.0016, 4.0016 and 20.0476 Å, with angles of 90.00, 90.00 and 120.00 degrees. The asymmetric unit holds Pm at (0.0000, 0.0000, 0.0000), U at (0.0000, 0.0000, 0.5000) and P at (0.0000, 0.0000, 0.2451).

The magnetic moment is 2.23 μB per formula unit. Its excess energy over the best structure of this formula in the dataset is 0 meV per atom. The energy of formation comes out at -1.27 eV per atom.

=====

Entry 5:
The following is a DFT calculation (PBE) of an optimized crystal structure of PmUP2.

The space group is R-3m (No. 166, hexagonal axes) and the conventional cell measures 4.1434, 4.1434 and 24.6455 Å, with angles of 90.00, 90.00 and 120.00 degrees. The asymmetric unit holds Pm at (0.0000, 0.0000, 0.0000), U at (0.0000, 0.0000, 0.5000) and P at (0.0000, 0.0000, 0.3973).

The magnetic moment is 2.39 μB per formula unit. Its excess energy over the best structure of this formula in the dataset is 1124 meV per atom. The energy of formation comes out at -0.14 eV per atom.

=====

Entry 6:
The following is a DFT calculation (PBE) of an optimized crystal structure of PmUP.

The space group is I4mm (No. 107) and the conventional cell measures 3.498, 3.498 and 12.038 Å, with angles of 90.00, 90.00 and 90.00 degrees. The asymmetric unit holds Pm at (0.000, 0.000, 0.000), U at (0.000, 0.000, 0.265) and P at (0.000, 0.000, 0.646).

The magnetic moment is 2.96 μB per formula unit. Its excess energy over the best structure of this formula in the dataset is 82 meV per atom. The energy of formation comes out at -0.34 eV per atom.

=====

Entry 7:
The following is a DFT calculation (PBE) of an optimized crystal structure of PmUP2.

The space group is R3m (No. 160, hexagonal axes) and the conventional cell measures 3.9519, 3.9519 and 20.8962 Å, with angles of 90.00, 90.00 and 120.00 degrees. The asymmetric unit holds Pm at (0.0000, 0.0000, 0.0000), U at (0.0000, 0.0000, 0.1739), P at (0.0000, 0.0000, 0.5825) and P at (0.0000, 0.0000, 0.7606).

The magnetic moment is 2.20 μB per formula unit. Its excess energy over the best structure of this formula in the dataset is 169 meV per atom. The energy of formation comes out at -1.10 eV per atom.

=====

Entry 8:
The following is a DFT calculation (PBE) of an optimized crystal structure of PmUP2.

The space group is Pmmn (No. 59, origin choice 2) and the conventional cell measures 3.827, 5.187 and 9.929 Å, with angles of 90.00, 90.00 and 90.00 degrees. The asymmetric unit holds Pm at (0.250, 0.250, 0.124), U at (0.250, 0.750, 0.384), P at (0.250, 0.250, 0.415) and P at (0.250, 0.250, 0.834).

The magnetic moment is 2.49 μB per formula unit. Its excess energy over the best structure of this formula in the dataset is 425 meV per atom. The energy of formation comes out at -0.84 eV per atom.